## BaAgO3 (PBE)

Data for a relaxed BaAgO3 crystal.

```
data_BaAgO3
_chemical_formula_sum 'Ba1 Ag1 O3'
_cell_length_a 4.124
_cell_length_b 4.353
_cell_length_c 5.178
_cell_angle_alpha 95.50
_cell_angle_beta 75.00
_cell_angle_gamma 100.46
_symmetry_space_group_name_H-M 'P 1'
_symmetry_Int_Tables_number 1
loop_
_symmetry_equiv_pos_as_xyz
'x,y,z'
loop_
_atom_site_label
_atom_site_type_symbol
_atom_site_fract_x
_atom_site_fract_y
_atom_site_fract_z
Ag1 Ag 0.618 0.313 0.675
O1 O 0.637 0.435 0.087
O2 O 0.557 0.802 0.654
O3 O 0.763 0.241 0.237
Ba1 Ba 0.188 0.824 0.226
```

Values from the calculation:
- energy (hartree per atom) = -0.182
- calculated volume (Å³ per atom) = 17.6
- M_tot (Bohr magnetons per cell) = 0.0